(1)
A geometry-optimized Mn2BeTc structure, computed with GGA-PBEsol.

Cell lengths 2.805, 3.801, 4.631 Å; angles 114.23, 107.63, 90.00 degrees
Fractional positions:
Be 0.000 0.500 0.000
Mn 0.255 0.255 0.510
Mn 0.745 0.745 0.490
Tc 0.500 0.000 0.000

Computed properties:
SG	Immm (71)
density of states at the Fermi level	3.90	states/eV/f.u.



(2)
A geometry-optimized TaRu2Au structure, computed with GGA-PBEsol.

Cell lengths 4.435, 4.435, 4.435 Å; angles 60.00, 60.00, 60.00 degrees
Fractional positions:
Ru 0.000 0.000 0.000
Au 0.500 0.500 0.500
Ta 0.750 0.750 0.750
Ru 0.250 0.250 0.250

Computed properties:
SG	F-43m (216)
excess energy over the best structure of this formula in the dataset	489	meV/atom
density of states at the Fermi level	6.39	states/eV/f.u.



(3)
A geometry-optimized Cs2Bi2Sb structure, computed with GGA-PBEsol.

Cell lengths 6.188, 8.103, 8.103 Å; angles 90.00, 90.00, 90.00 degrees
Fractional positions:
Bi 0.000 0.868 0.632
Sb 0.000 0.500 0.500
Bi 0.000 0.368 0.868
Cs 0.500 0.324 0.176
Cs 0.500 0.676 0.824
Bi 0.000 0.132 0.368
Cs 0.500 0.824 0.324
Sb 0.000 0.000 0.000
Cs 0.500 0.176 0.676
Bi 0.000 0.632 0.132

Computed properties:
ΔE_f (raw)	-0.291	eV per atom
SG	P4/mbm (127)
density of states at the Fermi level	3.23	states/eV/f.u.



(4)
A geometry-optimized AuCl5 structure, computed with GGA-PBEsol.

Cell lengths 3.544, 4.782, 9.518 Å; angles 104.43, 100.73, 90.00 degrees
Fractional positions:
Au 0.084 0.074 0.167
Cl 0.324 0.640 0.649
Cl 0.526 0.766 0.052
Cl 0.962 0.355 0.924
Cl 0.653 0.344 0.306
Cl 0.284 0.988 0.568

Computed properties:
ΔE_f (raw)	0.000	eV per atom
SG	Cm (8)



| no. | M_tot (μB/cell) | total energy (eV/cell) |
| --- | --- | --- |
| 1 | 0.00 | -34.83 |
| 2 | 1.16 | -35.58 |
| 3 | 0.00 | -32.94 |
| 4 | 0.00 | -13.96 |